Entry 1:
# PBE Cs2InHgBi2, optimized geometry
data_Cs2InHgBi2
_symmetry_space_group_name_H-M 'I b a m'
_symmetry_Int_Tables_number 72
_symmetry_space_group_name_Hall '-I 2 2c'
_cell_length_a 7.761
_cell_length_b 17.281
_cell_length_c 7.675
_cell_angle_alpha 90.00
_cell_angle_beta 90.00
_cell_angle_gamma 90.00
loop_
_atom_site_label
_atom_site_fract_x
_atom_site_fract_y
_atom_site_fract_z
Cs1 0.227 0.161 0.000
In1 0.000 0.500 0.250
Hg1 0.000 0.000 0.250
Bi1 0.229 0.406 0.000
# Energy of formation from the pure elements (meV per atom): -324

---

Entry 2:
# PBE CsInHgBi, optimized geometry
data_CsInHgBi
_symmetry_space_group_name_H-M 'C 1 m 1'
_symmetry_Int_Tables_number 8
_cell_length_a 12.481
_cell_length_b 4.703
_cell_length_c 5.800
_cell_angle_alpha 90.00
_cell_angle_beta 102.30
_cell_angle_gamma 90.00
loop_
_symmetry_equiv_pos_as_xyz
'x,y,z'
'x,-y,z'
'x+1/2,y+1/2,z'
'x+1/2,-y+1/2,z'
loop_
_atom_site_label
_atom_site_fract_x
_atom_site_fract_y
_atom_site_fract_z
Cs1 0.000 0.000 0.000
In1 0.161 0.500 0.631
Hg1 0.236 0.500 0.144
Bi1 0.305 0.000 0.503
# Energy of formation from the pure elements (meV per atom): -130
# Energy above the most stable polymorph in this dataset (meV/atom): 0

---

Entry 3:
# PBE Cs2In3Hg12Bi, optimized geometry
data_Cs2In3Hg12Bi
_symmetry_space_group_name_H-M 'R -3 m'
_symmetry_Int_Tables_number 166
_symmetry_space_group_name_Hall '-R 3 2"'
_cell_length_a 11.6324
_cell_length_b 11.6324
_cell_length_c 15.0458
_cell_angle_alpha 90.00
_cell_angle_beta 90.00
_cell_angle_gamma 120.00
loop_
_atom_site_label
_atom_site_fract_x
_atom_site_fract_y
_atom_site_fract_z
Cs1 0.0000 0.0000 0.2017
In1 0.0000 0.5000 0.0000
Hg1 0.0154 0.5077 0.2023
Hg2 0.0173 0.5087 0.6012
Bi1 0.0000 0.0000 0.5000
# Energy of formation from the pure elements (meV per atom): -27

---

Entry 4:
# PBE Cs2In3HgBi4, optimized geometry
data_Cs2In3HgBi4
_symmetry_space_group_name_H-M 'P -4 m 2'
_symmetry_Int_Tables_number 115
_cell_length_a 5.317
_cell_length_b 5.317
_cell_length_c 13.400
_cell_angle_alpha 90.00
_cell_angle_beta 90.00
_cell_angle_gamma 90.00
loop_
_symmetry_equiv_pos_as_xyz
'x,y,z'
'y,-x,-z'
'-x,-y,z'
'-y,x,-z'
'-x,y,z'
'-y,-x,-z'
'x,-y,z'
'y,x,-z'
loop_
_atom_site_label
_atom_site_fract_x
_atom_site_fract_y
_atom_site_fract_z
Cs1 0.000 0.500 0.245
In1 0.000 0.000 0.000
In2 0.000 0.500 0.635
Hg1 0.500 0.500 0.000
Bi1 0.000 0.000 0.500
Bi2 0.000 0.500 0.874
Bi3 0.500 0.500 0.500
# Energy of formation from the pure elements (meV per atom): -181

---

Entry 5:
# PBE CsIn2Hg4Bi, optimized geometry
data_CsIn2Hg4Bi
_symmetry_space_group_name_H-M 'P 4/m m m'
_symmetry_Int_Tables_number 123
_symmetry_space_group_name_Hall '-P 4 2'
_cell_length_a 5.808
_cell_length_b 5.808
_cell_length_c 8.617
_cell_angle_alpha 90.00
_cell_angle_beta 90.00
_cell_angle_gamma 90.00
loop_
_atom_site_label
_atom_site_fract_x
_atom_site_fract_y
_atom_site_fract_z
Cs1 0.000 0.000 0.000
In1 0.500 0.500 0.313
Hg1 0.000 0.500 0.309
Bi1 0.000 0.000 0.500
# Energy of formation from the pure elements (meV per atom): -50

---

Entry 6:
# PBE CsInHgBi, optimized geometry
data_CsInHgBi
_symmetry_space_group_name_H-M 'F -4 3 m'
_symmetry_Int_Tables_number 216
_symmetry_space_group_name_Hall 'F -4 2 3'
_cell_length_a 8.288
_cell_length_b 8.288
_cell_length_c 8.288
_cell_angle_alpha 90.00
_cell_angle_beta 90.00
_cell_angle_gamma 90.00
loop_
_atom_site_label
_atom_site_fract_x
_atom_site_fract_y
_atom_site_fract_z
Cs1 0.000 0.000 0.000
In1 0.250 0.250 0.750
Hg1 0.250 0.250 0.250
Bi1 0.000 0.000 0.500
# Energy of formation from the pure elements (meV per atom): -74
# Energy above the most stable polymorph in this dataset (meV/atom): 56

---

Entry 7:
# PBE CsHg2BiIr, optimized geometry
data_CsHg2BiIr
_symmetry_space_group_name_H-M 'P 4/m m m'
_symmetry_Int_Tables_number 123
_symmetry_space_group_name_Hall '-P 4 2'
_cell_length_a 5.480
_cell_length_b 5.480
_cell_length_c 5.326
_cell_angle_alpha 90.00
_cell_angle_beta 90.00
_cell_angle_gamma 90.00
loop_
_atom_site_label
_atom_site_fract_x
_atom_site_fract_y
_atom_site_fract_z
Cs1 0.000 0.000 0.000
Hg1 0.000 0.500 0.500
Bi1 0.500 0.500 0.000
Ir1 0.500 0.500 0.500
# Energy of formation from the pure elements (meV per atom): -2

---

Entry 8:
# PBE Cs2KHgBi2, optimized geometry
data_Cs2KHgBi2
_symmetry_space_group_name_H-M 'I b a m'
_symmetry_Int_Tables_number 72
_symmetry_space_group_name_Hall '-I 2 2c'
_cell_length_a 8.492
_cell_length_b 16.805
_cell_length_c 8.055
_cell_angle_alpha 90.00
_cell_angle_beta 90.00
_cell_angle_gamma 90.00
loop_
_atom_site_label
_atom_site_fract_x
_atom_site_fract_y
_atom_site_fract_z
Cs1 0.229 0.167 0.000
K1 0.000 0.500 0.250
Hg1 0.000 0.000 0.250
Bi1 0.199 0.092 0.500
# Energy of formation from the pure elements (meV per atom): -284

---

Entry 9:
# PBE Cs4K2HgBi2, optimized geometry
data_Cs4K2HgBi2
_symmetry_space_group_name_H-M 'C 1 2/m 1'
_symmetry_Int_Tables_number 12
_cell_length_a 14.845
_cell_length_b 11.927
_cell_length_c 6.035
_cell_angle_alpha 90.00
_cell_angle_beta 100.24
_cell_angle_gamma 90.00
loop_
_symmetry_equiv_pos_as_xyz
'x,y,z'
'-x,-y,-z'
'-x,y,-z'
'x,-y,z'
'x+1/2,y+1/2,z'
'-x+1/2,-y+1/2,-z'
'-x+1/2,y+1/2,-z'
'x+1/2,-y+1/2,z'
loop_
_atom_site_label
_atom_site_fract_x
_atom_site_fract_y
_atom_site_fract_z
Cs1 0.134 0.214 0.202
K1 0.137 0.500 0.715
Hg1 0.000 0.000 0.500
Bi1 0.195 0.000 0.713
# Energy of formation from the pure elements (meV per atom): -265

---

Entry 10:
# PBE CsKHg2Bi, optimized geometry
data_CsKHg2Bi
_symmetry_space_group_name_H-M 'I m m 2'
_symmetry_Int_Tables_number 44
_cell_length_a 5.110
_cell_length_b 5.806
_cell_length_c 14.437
_cell_angle_alpha 90.00
_cell_angle_beta 90.00
_cell_angle_gamma 90.00
loop_
_symmetry_equiv_pos_as_xyz
'x,y,z'
'-x,-y,z'
'-x,y,z'
'x,-y,z'
'x+1/2,y+1/2,z+1/2'
'-x+1/2,-y+1/2,z+1/2'
'-x+1/2,y+1/2,z+1/2'
'x+1/2,-y+1/2,z+1/2'
loop_
_atom_site_label
_atom_site_fract_x
_atom_site_fract_y
_atom_site_fract_z
Cs1 0.000 0.000 0.000
K1 0.000 0.500 0.754
Hg1 0.000 0.000 0.411
Hg2 0.000 0.500 0.241
Bi1 0.000 0.000 0.621
# Energy of formation from the pure elements (meV per atom): -266
# Energy above the most stable polymorph in this dataset (meV/atom): 0

---

Entry 11:
# PBE CsKHg2Bi2, optimized geometry
data_CsKHg2Bi2
_symmetry_space_group_name_H-M 'P -3 m 1'
_symmetry_Int_Tables_number 164
_symmetry_space_group_name_Hall '-P 3 2"'
_cell_length_a 5.0682
_cell_length_b 5.0682
_cell_length_c 11.1732
_cell_angle_alpha 90.00
_cell_angle_beta 90.00
_cell_angle_gamma 120.00
loop_
_atom_site_label
_atom_site_fract_x
_atom_site_fract_y
_atom_site_fract_z
Cs1 0.0000 0.0000 0.0000
K1 0.0000 0.0000 0.5000
Hg1 0.3333 0.6667 0.2884
Bi1 0.3333 0.6667 0.7411
# Energy of formation from the pure elements (meV per atom): -321

---

Entry 12:
# PBE CsK2HgBi, optimized geometry
data_CsK2HgBi
_symmetry_space_group_name_H-M 'P 4/m m m'
_symmetry_Int_Tables_number 123
_symmetry_space_group_name_Hall '-P 4 2'
_cell_length_a 6.947
_cell_length_b 6.947
_cell_length_c 6.094
_cell_angle_alpha 90.00
_cell_angle_beta 90.00
_cell_angle_gamma 90.00
loop_
_atom_site_label
_atom_site_fract_x
_atom_site_fract_y
_atom_site_fract_z
Cs1 0.000 0.000 0.000
K1 0.000 0.500 0.500
Hg1 0.500 0.500 0.000
Bi1 0.500 0.500 0.500
# Energy of formation from the pure elements (meV per atom): -157
# Energy above the most stable polymorph in this dataset (meV/atom): 28

---

Number 1: final energy -2.41 eV/atom. Number 2: final energy -2.07 eV/atom. Number 3: final energy -1.00 eV/atom. Number 4: final energy -2.76 eV/atom. Number 5: final energy -1.48 eV/atom. Number 6: final energy -2.02 eV/atom. Number 7: final energy -2.84 eV/atom. Number 8: final energy -2.09 eV/atom. Number 9: final energy -1.78 eV/atom. Number 10: final energy -1.55 eV/atom. Number 11: final energy -2.04 eV/atom. Number 12: final energy -1.60 eV/atom.